# 1
First-principles (PBE) data for a geometry-optimized CaSb2Ir2 structure, as listed in Alexandria. Values from VASP.

Structure (Quantum ESPRESSO input):
```
&SYSTEM
  ibrav = 0, nat = 10, ntyp = 3
/
ATOMIC_SPECIES
Ca 40.08 Ca.upf
Sb 121.76 Sb.upf
Ir 192.22 Ir.upf
ATOMIC_POSITIONS crystal
Ca 0.000 0.000 0.000
Ca 0.500 0.500 0.000
Sb 0.150 0.350 0.000
Sb 0.350 0.850 0.000
Sb 0.650 0.150 0.000
Sb 0.850 0.650 0.000
Ir 0.136 0.636 0.500
Ir 0.364 0.136 0.500
Ir 0.636 0.864 0.500
Ir 0.864 0.364 0.500
CELL_PARAMETERS angstrom
7.998 0.000 0.000
0.000 7.998 0.000
0.000 0.000 3.207
```

Properties
* raw formation energy: -0.094 eV/atom


# 2
First-principles (PBE) data for a geometry-optimized Ca2SbIr2 structure, as listed in Alexandria. Values from VASP.

Structure (Quantum ESPRESSO input):
```
&SYSTEM
  ibrav = 0, nat = 10, ntyp = 3
/
ATOMIC_SPECIES
Ca 40.08 Ca.upf
Sb 121.76 Sb.upf
Ir 192.22 Ir.upf
ATOMIC_POSITIONS crystal
Ca 0.174 0.326 0.000
Ca 0.326 0.826 0.000
Ca 0.674 0.174 0.000
Ca 0.826 0.674 0.000
Sb 0.000 0.000 0.500
Sb 0.500 0.500 0.500
Ir 0.128 0.628 0.500
Ir 0.372 0.128 0.500
Ir 0.628 0.872 0.500
Ir 0.872 0.372 0.500
CELL_PARAMETERS angstrom
6.972 0.000 0.000
0.000 6.972 0.000
0.000 0.000 4.580
```

Properties
* raw formation energy: -0.407 eV/atom
* energy above the lowest structure with this stoichiometry: 217 meV per atom


# 3
First-principles (PBE) data for a geometry-optimized CaSbIr3 structure, as listed in Alexandria. Values from VASP.

Structure (Quantum ESPRESSO input):
```
&SYSTEM
  ibrav = 0, nat = 5, ntyp = 3
/
ATOMIC_SPECIES
Ca 40.08 Ca.upf
Sb 121.76 Sb.upf
Ir 192.22 Ir.upf
ATOMIC_POSITIONS crystal
Ca 0.000 0.000 0.000
Sb 0.500 0.500 0.500
Ir 0.000 0.500 0.500
Ir 0.500 0.000 0.500
Ir 0.500 0.500 0.000
CELL_PARAMETERS angstrom
4.895 0.000 0.000
0.000 4.895 0.000
0.000 0.000 4.895
```

Properties
* raw formation energy: 0.802 eV/atom


# 4
First-principles (PBE) data for a geometry-optimized Ca2SbIr2 structure, as listed in Alexandria. Values from VASP.

Structure (Quantum ESPRESSO input):
```
&SYSTEM
  ibrav = 0, nat = 10, ntyp = 3
/
ATOMIC_SPECIES
Ca 40.08 Ca.upf
Sb 121.76 Sb.upf
Ir 192.22 Ir.upf
ATOMIC_POSITIONS crystal
Ca 0.005 0.290 0.148
Ca 0.290 0.005 0.648
Ca 0.710 0.995 0.352
Ca 0.995 0.710 0.852
Sb 0.372 0.628 0.250
Sb 0.628 0.372 0.750
Ir 0.221 0.500 0.501
Ir 0.500 0.221 0.001
Ir 0.500 0.779 0.999
Ir 0.779 0.500 0.499
CELL_PARAMETERS angstrom
4.999 -2.871 0.000
4.999 2.871 0.000
-1.723 0.000 7.833
```

Properties
* raw formation energy: -0.624 eV/atom
* energy above the lowest structure with this stoichiometry: 0 meV per atom


# 5
First-principles (PBE) data for a geometry-optimized Ca2SbIr structure, as listed in Alexandria. Values from VASP.

Structure (Quantum ESPRESSO input):
```
&SYSTEM
  ibrav = 0, nat = 4, ntyp = 3
/
ATOMIC_SPECIES
Ca 40.08 Ca.upf
Sb 121.76 Sb.upf
Ir 192.22 Ir.upf
ATOMIC_POSITIONS crystal
Ca 0.000 0.000 0.000
Ca 0.750 0.250 0.500
Sb 0.500 0.500 0.000
Ir 0.250 0.750 0.500
CELL_PARAMETERS angstrom
-2.474 2.474 3.509
2.474 -2.474 3.509
2.474 2.474 -3.509
```

Properties
* raw formation energy: -0.398 eV/atom


# 6
First-principles (PBE) data for a geometry-optimized CaSb2Ir2 structure, as listed in Alexandria. Values from VASP.

Structure (Quantum ESPRESSO input):
```
&SYSTEM
  ibrav = 0, nat = 10, ntyp = 3
/
ATOMIC_SPECIES
Ca 40.08 Ca.upf
Sb 121.76 Sb.upf
Ir 192.22 Ir.upf
ATOMIC_POSITIONS crystal
Ca 0.000 0.000 0.000
Ca 0.500 0.500 0.000
Sb 0.160 0.340 0.500
Sb 0.340 0.840 0.500
Sb 0.660 0.160 0.500
Sb 0.840 0.660 0.500
Ir 0.129 0.629 0.000
Ir 0.371 0.129 0.000
Ir 0.629 0.871 0.000
Ir 0.871 0.371 0.000
CELL_PARAMETERS angstrom
7.775 0.000 0.000
0.000 7.775 0.000
0.000 0.000 3.408
```

Properties
* raw formation energy: -0.158 eV/atom


# 7
First-principles (PBE) data for a geometry-optimized CaSb2Ir2 structure, as listed in Alexandria. Values from VASP.

Structure (Quantum ESPRESSO input):
```
&SYSTEM
  ibrav = 0, nat = 5, ntyp = 3
/
ATOMIC_SPECIES
Ca 40.08 Ca.upf
Sb 121.76 Sb.upf
Ir 192.22 Ir.upf
ATOMIC_POSITIONS crystal
Ca 0.000 0.000 0.000
Sb 0.371 0.371 0.000
Sb 0.629 0.629 0.000
Ir 0.250 0.750 0.500
Ir 0.750 0.250 0.500
CELL_PARAMETERS angstrom
-2.102 2.102 6.514
2.102 -2.102 6.514
2.102 2.102 -6.514
```

Properties
* raw formation energy: -0.353 eV/atom


# 8
First-principles (PBE) data for a geometry-optimized Ca2SbIr structure, as listed in Alexandria. Values from VASP.

Structure (Quantum ESPRESSO input):
```
&SYSTEM
  ibrav = 0, nat = 4, ntyp = 3
/
ATOMIC_SPECIES
Ca 40.08 Ca.upf
Sb 121.76 Sb.upf
Ir 192.22 Ir.upf
ATOMIC_POSITIONS crystal
Ca 0.000 0.000 0.000
Ca 0.500 0.500 0.363
Sb 0.500 0.500 0.848
Ir 0.000 0.000 0.451
CELL_PARAMETERS angstrom
3.271 0.000 0.000
0.000 5.005 0.000
0.000 0.000 6.301
```

Properties
* raw formation energy: -0.118 eV/atom


# 9
First-principles (PBE) data for a geometry-optimized CaSb2Ir structure, as listed in Alexandria. Values from VASP.

Structure (Quantum ESPRESSO input):
```
&SYSTEM
  ibrav = 0, nat = 4, ntyp = 3
/
ATOMIC_SPECIES
Ca 40.08 Ca.upf
Sb 121.76 Sb.upf
Ir 192.22 Ir.upf
ATOMIC_POSITIONS crystal
Ca 0.000 0.000 0.000
Sb 0.162 0.162 0.635
Sb 0.343 0.343 0.350
Ir 0.727 0.727 0.994
CELL_PARAMETERS angstrom
5.378 -1.847 0.000
5.378 1.847 0.000
-2.434 0.000 5.305
```

Properties
* raw formation energy: -0.363 eV/atom


# 10
First-principles (PBE) data for a geometry-optimized CaSb2Ir structure, as listed in Alexandria. Values from VASP.

Structure (Quantum ESPRESSO input):
```
&SYSTEM
  ibrav = 0, nat = 8, ntyp = 3
/
ATOMIC_SPECIES
Ca 40.08 Ca.upf
Sb 121.76 Sb.upf
Ir 192.22 Ir.upf
ATOMIC_POSITIONS crystal
Ca 0.000 0.000 0.000
Ca 0.750 0.250 0.500
Sb 0.197 0.625 0.072
Sb 0.375 0.447 0.572
Sb 0.553 0.125 0.928
Sb 0.875 0.803 0.428
Ir 0.250 0.750 0.500
Ir 0.500 0.500 0.000
CELL_PARAMETERS angstrom
-4.114 4.114 3.024
4.114 -4.114 3.024
4.114 4.114 -3.024
```

Properties
* raw formation energy: -0.380 eV/atom


# 11
First-principles (PBE) data for a geometry-optimized CaSb2Ir structure, as listed in Alexandria. Values from VASP.

Structure (Quantum ESPRESSO input):
```
&SYSTEM
  ibrav = 0, nat = 4, ntyp = 3
/
ATOMIC_SPECIES
Ca 40.08 Ca.upf
Sb 121.76 Sb.upf
Ir 192.22 Ir.upf
ATOMIC_POSITIONS crystal
Ca 0.000 0.000 0.000
Sb 0.228 0.228 0.228
Sb 0.772 0.772 0.772
Ir 0.500 0.500 0.500
CELL_PARAMETERS angstrom
2.090 1.207 6.641
-2.090 1.207 6.641
0.000 -2.414 6.641
```

Properties
* raw formation energy: -0.504 eV/atom


# 12
First-principles (PBE) data for a geometry-optimized CaSb2Ir structure, as listed in Alexandria. Values from VASP.

Structure (Quantum ESPRESSO input):
```
&SYSTEM
  ibrav = 0, nat = 4, ntyp = 3
/
ATOMIC_SPECIES
Ca 40.08 Ca.upf
Sb 121.76 Sb.upf
Ir 192.22 Ir.upf
ATOMIC_POSITIONS crystal
Ca 0.000 0.000 0.000
Sb 0.000 0.000 0.441
Sb 0.500 0.500 0.725
Ir 0.500 0.500 0.325
CELL_PARAMETERS angstrom
3.708 0.000 0.000
0.000 3.708 0.000
0.000 0.000 6.972
```

Properties
* raw formation energy: -0.190 eV/atom